Ca2MgSbO6: relaxed, PBE.

The value obtained for the energy is -6.2041 eV per atom. As for the density of states at the Fermi level: 0.791 states/eV/atom.

The structure belongs to space group P2_1/c (No. 14); the cell edges are 5.538, 5.694 and 9.555 Å and the angles 90.00°, 124.63° and 90.00°. The inequivalent atoms are Ca at (0.232, 0.052, 0.247), Mg at (0.000, 0.000, 0.500), Sb at (0.500, 0.000, 0.000), O at (0.163, 0.200, 0.952), O at (0.249, 0.715, 0.946) and O at (0.354, 0.034, 0.756).

CaMgSc4O8: relaxed, PBE.

The value obtained for the energy is -8.1717 eV per atom. As for the density of states at the Fermi level: 0.000 states/eV/atom.

The structure belongs to space group R3m (No. 160, hexagonal axes); the cell edges are 6.3165, 6.3165 and 15.6718 Å and the angles 90.00°, 90.00° and 120.00°. The inequivalent atoms are Ca at (0.0000, 0.0000, 0.0000), Mg at (0.0000, 0.0000, 0.6193), Sc at (0.0000, 0.0000, 0.3792), Sc at (0.0054, 0.5027, 0.5013), O at (0.0000, 0.0000, 0.2439), O at (0.0000, 0.0000, 0.7577), O at (0.0095, 0.5047, 0.7590) and O at (0.1737, 0.3473, 0.5729).

CaMgSe2O6: relaxed, PBE.

The value obtained for the energy is -5.6407 eV per atom. As for the density of states at the Fermi level: 0.000 states/eV/atom.

The structure belongs to space group R-3 (No. 148, hexagonal axes); the cell edges are 5.3423, 5.3423 and 16.6506 Å and the angles 90.00°, 90.00° and 120.00°. The inequivalent atoms are Ca at (0.0000, 0.0000, 0.0000), Mg at (0.0000, 0.0000, 0.5000), Se at (0.0000, 0.0000, 0.2797) and O at (0.0137, 0.7036, 0.2407).

CaMg3Se4O12: relaxed, PBE.

The value obtained for the energy is -5.2919 eV per atom. As for the density of states at the Fermi level: 0.246 states/eV/atom.

The structure belongs to space group R32 (No. 155, hexagonal axes); the cell edges are 10.6712, 10.6712 and 7.9834 Å and the angles 90.00°, 90.00° and 120.00°. The inequivalent atoms are Ca at (0.0000, 0.0000, 0.0000), Mg at (0.0000, 0.5774, 0.0000), Se at (0.0000, 0.0000, 0.5000), Se at (0.0000, 0.3999, 0.5000), O at (0.0000, 0.5611, 0.5000), O at (0.0000, 0.8283, 0.5000) and O at (0.0508, 0.1917, 0.2013).

CaMgSi2O2: relaxed, PBE.

The value obtained for the energy is -5.4812 eV per atom. As for the density of states at the Fermi level: 0.233 states/eV/atom.

The structure belongs to space group C2/c (No. 15); the cell edges are 9.337, 8.873 and 4.958 Å and the angles 90.00°, 102.83° and 90.00°. The inequivalent atoms are Ca at (0.000, 0.194, 0.250), Mg at (0.000, 0.416, 0.750), Si at (0.194, 0.088, 0.790) and O at (0.119, 0.411, 0.137).

CaMgSiO4: relaxed, PBE.

The value obtained for the offset from the most stable computed form is 238 meV/atom. As for the density of states at the Fermi level: 0.000 states/eV/atom.

The structure belongs to space group Imma (No. 74); the cell edges are 5.986, 6.137 and 8.481 Å and the angles 90.00°, 90.00° and 90.00°. The inequivalent atoms are Ca at (0.250, 0.250, 0.250), Mg at (0.000, 0.000, 0.000), Si at (0.000, 0.250, 0.634), O at (0.000, 0.029, 0.749) and O at (0.233, 0.250, 0.519).